(1)
ScTaAu2 | PBE | optimized geometry

CIF file:
```
data_ScTaAu2
_chemical_formula_sum 'Sc1 Ta1 Au2'
_cell_length_a 3.058
_cell_length_b 3.058
_cell_length_c 8.122
_cell_angle_alpha 90.00
_cell_angle_beta 90.00
_cell_angle_gamma 90.00
_space_group_name_H-M_alt 'P 4 m m'
_space_group_IT_number 99
loop_
_space_group_symop_operation_xyz
'x,y,z'
'-y,x,z'
'-x,-y,z'
'y,-x,z'
'-x,y,z'
'y,x,z'
'x,-y,z'
'-y,-x,z'
loop_
_atom_site_label
_atom_site_type_symbol
_atom_site_fract_x
_atom_site_fract_y
_atom_site_fract_z
Sc1 Sc 0.000 0.000 0.000
Ta1 Ta 0.500 0.500 0.264
Au1 Au 0.000 0.000 0.499
Au2 Au 0.500 0.500 0.757
```

Output
**Energy relative to the lowest polymorph listed for this composition**: 81 meV/atom
**Spin magnetization**: 0.0 μB per formula unit


(2)
Sc4TaAu | PBE | optimized geometry

CIF file:
```
data_Sc4TaAu
_chemical_formula_sum 'Sc16 Ta4 Au4'
_cell_length_a 7.945
_cell_length_b 7.945
_cell_length_c 7.945
_cell_angle_alpha 90.00
_cell_angle_beta 90.00
_cell_angle_gamma 90.00
_space_group_name_H-M_alt 'F -4 3 m'
_space_group_IT_number 216
_space_group_name_Hall 'F -4 2 3'
loop_
_atom_site_label
_atom_site_type_symbol
_atom_site_fract_x
_atom_site_fract_y
_atom_site_fract_z
Sc1 Sc 0.124 0.124 0.124
Ta1 Ta 0.250 0.250 0.750
Au1 Au 0.000 0.000 0.500
```

Output
**Spin magnetization**: 1.4 μB per formula unit


(3)
ScTaAu2 | PBE | optimized geometry

CIF file:
```
data_ScTaAu2
_chemical_formula_sum 'Sc2 Ta2 Au4'
_cell_length_a 6.103
_cell_length_b 8.000
_cell_length_c 3.022
_cell_angle_alpha 90.00
_cell_angle_beta 90.00
_cell_angle_gamma 90.00
_space_group_name_H-M_alt 'C m m m'
_space_group_IT_number 65
_space_group_name_Hall '-C 2 2'
loop_
_atom_site_label
_atom_site_type_symbol
_atom_site_fract_x
_atom_site_fract_y
_atom_site_fract_z
Sc1 Sc 0.000 0.000 0.000
Ta1 Ta 0.000 0.500 0.000
Au1 Au 0.250 0.250 0.500
```

Output
**Energy relative to the lowest polymorph listed for this composition**: 29 meV/atom
**Spin magnetization**: 0.0 μB per formula unit


(4)
ScTa4Au | PBE | optimized geometry

CIF file:
```
data_ScTa4Au
_chemical_formula_sum 'Sc4 Ta16 Au4'
_cell_length_a 7.789
_cell_length_b 7.789
_cell_length_c 7.789
_cell_angle_alpha 90.00
_cell_angle_beta 90.00
_cell_angle_gamma 90.00
_space_group_name_H-M_alt 'F -4 3 m'
_space_group_IT_number 216
_space_group_name_Hall 'F -4 2 3'
loop_
_atom_site_label
_atom_site_type_symbol
_atom_site_fract_x
_atom_site_fract_y
_atom_site_fract_z
Sc1 Sc 0.000 0.000 0.000
Ta1 Ta 0.127 0.127 0.627
Au1 Au 0.250 0.250 0.250
```

Output
**Spin magnetization**: 0.0 μB per formula unit


(5)
Sc3TaAu | PBE | optimized geometry

CIF file:
```
data_Sc3TaAu
_chemical_formula_sum 'Sc3 Ta1 Au1'
_cell_length_a 5.077
_cell_length_b 5.077
_cell_length_c 5.077
_cell_angle_alpha 90.00
_cell_angle_beta 90.00
_cell_angle_gamma 90.00
_space_group_name_H-M_alt 'P m -3 m'
_space_group_IT_number 221
_space_group_name_Hall '-P 4 2 3'
loop_
_atom_site_label
_atom_site_type_symbol
_atom_site_fract_x
_atom_site_fract_y
_atom_site_fract_z
Sc1 Sc 0.000 0.000 0.500
Ta1 Ta 0.500 0.500 0.500
Au1 Au 0.000 0.000 0.000
```

Output
**Energy relative to the lowest polymorph listed for this composition**: 0 meV/atom
**Spin magnetization**: 1.4 μB per formula unit


(6)
Sc2TaAu2 | PBE | optimized geometry

CIF file:
```
data_Sc2TaAu2
_chemical_formula_sum 'Sc4 Ta2 Au4'
_cell_length_a 3.774
_cell_length_b 3.774
_cell_length_c 15.125
_cell_angle_alpha 90.00
_cell_angle_beta 90.00
_cell_angle_gamma 90.00
_space_group_name_H-M_alt 'I 4/m m m'
_space_group_IT_number 139
_space_group_name_Hall '-I 4 2'
loop_
_atom_site_label
_atom_site_type_symbol
_atom_site_fract_x
_atom_site_fract_y
_atom_site_fract_z
Sc1 Sc 0.000 0.000 0.101
Ta1 Ta 0.000 0.000 0.500
Au1 Au 0.000 0.500 0.250
```

Output
**Energy relative to the lowest polymorph listed for this composition**: 441 meV/atom
**Spin magnetization**: 1.1 μB per formula unit


Energy of formation / kJ per mole of atoms: -22.9; 35.7; -27.9; 21.0; 62.0; 10.2